1.
Compound: MgZn2Pd
Source: Alexandria
Functional: PBE
Structure: optimized geometry

Cell lengths 6.2438, 6.2438, 6.2438 Å; angles 49.84, 152.85, 139.04 degrees
Sites, in units of the cell vectors:
Pd 0.0000 0.5000 0.5000
Mg 0.0000 0.0000 0.0000
Zn 0.0000 0.2769 0.2769
Zn 0.0000 0.7231 0.7231

The space group is No. 71. The density of states at the Fermi level is 1.55 states/eV/cell. For the formation energy, the calculation gives -0.12 eV per atom. The electronic total energy is -9.8 eV per cell.

---

2.
Compound: MgZnPd
Source: Alexandria
Functional: PBE
Structure: optimized geometry

Cell lengths 4.3224, 4.3224, 4.3224 Å; angles 60.00, 60.00, 60.00 degrees
Sites, in units of the cell vectors:
Pd 0.2500 0.2500 0.2500
Zn 0.5000 0.5000 0.5000
Mg 0.0000 0.0000 0.0000

The space group is No. 216. The density of states at the Fermi level is 1.05 states/eV/cell. For the formation energy, the calculation gives -0.36 eV per atom. The electronic total energy is -9.2 eV per cell.

---

3.
Compound: Mg3ZnPd
Source: Alexandria
Functional: PBE
Structure: optimized geometry

Cell lengths 4.9965, 4.9965, 4.9965 Å; angles 90.00, 90.00, 90.00 degrees
Sites, in units of the cell vectors:
Zn 0.5000 0.5000 0.5000
Mg 0.5000 0.0000 0.0000
Mg 0.0000 0.5000 0.0000
Mg 0.0000 0.0000 0.5000
Pd 0.0000 0.0000 0.0000

The space group is No. 221. The value obtained for the energy above the most stable polymorph in this dataset is 303.6 meV per atom. The density of states at the Fermi level is 1.87 states/eV/cell. For the formation energy, the calculation gives -0.03 eV per atom. The electronic total energy is -11.4 eV per cell.

---

4.
Compound: MgZn2Pd9
Source: Alexandria
Functional: PBE
Structure: optimized geometry

Cell lengths 3.9308, 3.9308, 11.8077 Å; angles 90.00, 90.00, 90.00 degrees
Sites, in units of the cell vectors:
Zn 0.0000 0.0000 0.6637
Zn 0.0000 0.0000 0.3363
Pd 0.5000 0.0000 0.8294
Pd 0.0000 0.5000 0.8294
Pd 0.5000 0.5000 0.3344
Pd 0.5000 0.0000 0.1706
Pd 0.5000 0.5000 0.0000
Pd 0.0000 0.5000 0.1706
Pd 0.5000 0.0000 0.5000
Pd 0.5000 0.5000 0.6656
Pd 0.0000 0.5000 0.5000
Mg 0.0000 0.0000 0.0000

The space group is No. 123. The density of states at the Fermi level is 18.65 states/eV/cell. For the formation energy, the calculation gives -0.35 eV per atom. The electronic total energy is -55.1 eV per cell.

---

5.
Compound: Mg3ZnPd
Source: Alexandria
Functional: PBE
Structure: optimized geometry

Cell lengths 5.6684, 8.6953, 8.6953 Å; angles 69.73, 90.62, 90.62 degrees
Sites, in units of the cell vectors:
Pd 0.6035 0.2172 0.2791
Pd 0.1035 0.2791 0.2172
Pd 0.8965 0.7209 0.7828
Pd 0.3965 0.7828 0.7209
Zn 0.7500 0.1938 0.8062
Zn 0.2500 0.8062 0.1938
Zn 0.2500 0.3065 0.6935
Zn 0.7500 0.6935 0.3065
Mg 0.3711 0.4668 0.3366
Mg 0.2602 0.0629 0.4893
Mg 0.8837 0.0401 0.1504
Mg 0.2398 0.5107 0.9371
Mg 0.7602 0.4893 0.0629
Mg 0.8711 0.3366 0.4668
Mg 0.3837 0.1504 0.0401
Mg 0.6163 0.8496 0.9599
Mg 0.1289 0.6634 0.5332
Mg 0.7398 0.9371 0.5107
Mg 0.1163 0.9599 0.8496
Mg 0.6289 0.5332 0.6634

The space group is No. 15. The value obtained for the energy above the most stable polymorph in this dataset is 93.5 meV per atom. The density of states at the Fermi level is 4.78 states/eV/cell. For the formation energy, the calculation gives -0.24 eV per atom. The electronic total energy is -49.8 eV per cell.

---

6.
Compound: MgZr2Zn2Pd2
Source: Alexandria
Functional: PBE
Structure: optimized geometry

Cell lengths 4.4194, 5.1175, 6.4665 Å; angles 107.38, 90.00, 115.58 degrees
Sites, in units of the cell vectors:
Zr 0.6411 0.2822 0.7564
Zr 0.3589 0.7178 0.2436
Zn 0.1152 0.2304 0.4390
Zn 0.8848 0.7696 0.5610
Pd 0.3491 0.6982 0.7990
Pd 0.6509 0.3018 0.2010
Mg 0.0000 0.0000 0.0000

The space group is No. 12. The density of states at the Fermi level is 4.53 states/eV/cell. For the formation energy, the calculation gives -0.48 eV per atom. The electronic total energy is -35.0 eV per cell.

---

7.
Compound: MgZrPd
Source: Alexandria
Functional: PBE
Structure: optimized geometry

Cell lengths 2.9371, 5.4875, 7.8809 Å; angles 110.48, 90.00, 105.52 degrees
Sites, in units of the cell vectors:
Mg 0.8646 0.7291 0.4802
Mg 0.1354 0.2709 0.5198
Zr 0.1565 0.3129 0.1168
Zr 0.8435 0.6871 0.8832
Pd 0.4449 0.8898 0.2268
Pd 0.5551 0.1102 0.7732

The space group is No. 12. The density of states at the Fermi level is 4.92 states/eV/cell. For the formation energy, the calculation gives -0.37 eV per atom. The electronic total energy is -32.9 eV per cell.

---

8.
Compound: MgZr2Pd2
Source: Alexandria
Functional: PBE
Structure: optimized geometry

Cell lengths 4.6487, 4.6487, 6.1465 Å; angles 67.78, 67.78, 90.00 degrees
Sites, in units of the cell vectors:
Zr 0.2500 0.7500 0.5000
Zr 0.7500 0.2500 0.5000
Pd 0.6215 0.6215 0.7570
Pd 0.3785 0.3785 0.2430
Mg 0.0000 0.0000 0.0000

The space group is No. 139. The density of states at the Fermi level is 0.46 states/eV/cell. For the formation energy, the calculation gives -0.28 eV per atom. The electronic total energy is -30.5 eV per cell.

---

9.
Compound: MgZrPd3
Source: Alexandria
Functional: PBE
Structure: optimized geometry

Cell lengths 4.9201, 4.9201, 4.9201 Å; angles 90.00, 90.00, 90.00 degrees
Sites, in units of the cell vectors:
Pd 0.5000 0.0000 0.0000
Pd 0.0000 0.5000 0.0000
Pd 0.0000 0.0000 0.5000
Zr 0.0000 0.0000 0.0000
Mg 0.5000 0.5000 0.5000

The space group is No. 221. The value obtained for the energy above the most stable polymorph in this dataset is 984.1 meV per atom. The density of states at the Fermi level is 2.25 states/eV/cell. For the formation energy, the calculation gives 0.38 eV per atom. The electronic total energy is -23.8 eV per cell.

---

10.
Compound: MgZr3Pd
Source: Alexandria
Functional: PBE
Structure: optimized geometry

Cell lengths 5.1032, 5.1032, 5.1032 Å; angles 90.00, 90.00, 90.00 degrees
Sites, in units of the cell vectors:
Mg 0.5000 0.5000 0.5000
Zr 0.0000 0.0000 0.5000
Zr 0.5000 0.0000 0.0000
Zr 0.0000 0.5000 0.0000
Pd 0.0000 0.0000 0.0000

The space group is No. 221. The value obtained for the energy above the most stable polymorph in this dataset is 0.0 meV per atom. The density of states at the Fermi level is 8.93 states/eV/cell. For the formation energy, the calculation gives 0.39 eV per atom. The electronic total energy is -30.5 eV per cell.

---

11.
Compound: Mg4ZrPd15
Source: Alexandria
Functional: PBE
Structure: optimized geometry

Cell lengths 3.9971, 3.9971, 19.9028 Å; angles 90.00, 90.00, 90.00 degrees
Sites, in units of the cell vectors:
Mg 0.0000 0.0000 0.4003
Mg 0.0000 0.0000 0.5997
Mg 0.0000 0.0000 0.2032
Mg 0.0000 0.0000 0.7968
Pd 0.5000 0.5000 0.2016
Pd 0.5000 0.5000 0.5986
Pd 0.0000 0.5000 0.8988
Pd 0.5000 0.5000 0.0000
Pd 0.0000 0.5000 0.6983
Pd 0.5000 0.0000 0.3017
Pd 0.5000 0.0000 0.1012
Pd 0.0000 0.5000 0.3017
Pd 0.0000 0.5000 0.5000
Pd 0.5000 0.0000 0.6983
Pd 0.5000 0.0000 0.5000
Pd 0.5000 0.5000 0.7984
Pd 0.5000 0.5000 0.4014
Pd 0.0000 0.5000 0.1012
Pd 0.5000 0.0000 0.8988
Zr 0.0000 0.0000 0.0000

The space group is No. 123. The density of states at the Fermi level is 24.04 states/eV/cell. For the formation energy, the calculation gives -0.55 eV per atom. The electronic total energy is -103.7 eV per cell.

---

12.
Compound: Mg5ZrPd4
Source: Alexandria
Functional: PBE
Structure: optimized geometry

Cell lengths 3.2260, 3.2260, 16.6875 Å; angles 90.00, 90.00, 90.00 degrees
Sites, in units of the cell vectors:
Mg 0.5000 0.5000 0.8698
Mg 0.5000 0.5000 0.3143
Mg 0.5000 0.5000 0.5000
Mg 0.5000 0.5000 0.6857
Mg 0.5000 0.5000 0.1302
Zr 0.0000 0.0000 0.0000
Pd 0.0000 0.0000 0.2214
Pd 0.0000 0.0000 0.7786
Pd 0.0000 0.0000 0.4072
Pd 0.0000 0.0000 0.5928

The space group is No. 123. The density of states at the Fermi level is 6.39 states/eV/cell. For the formation energy, the calculation gives -0.57 eV per atom. The electronic total energy is -43.0 eV per cell.

---

> electronic total energy of number 5 (Mg3ZnPd)?

-49.8 eV per cell

---

> Which value of electronic total energy does entry 11 give?

-103.7 eV per cell